Entry 1:
# MnCoPb2 | Alexandria via LeMat-Bulk | PBE | optimized geometry
# **Electronic total energy**: -5.18 eV/atom
# **E_form**: 2.973 eV per formula unit
# **D(E_F)**: 5.35 states/eV/f.u.
# **E above lowest polymorph**: 0.480 eV/atom
data_MnCoPb2
_chemical_formula_sum 'Mn1 Co1 Pb2'
_cell_length_a 4.917
_cell_length_b 4.917
_cell_length_c 4.917
_cell_angle_alpha 60.00
_cell_angle_beta 60.00
_cell_angle_gamma 60.00
_symmetry_space_group_name_H-M 'P 1'
_symmetry_Int_Tables_number 1
_symmetry_space_group_name_Hall 'P 1'
loop_
_atom_site_label
_atom_site_type_symbol
_atom_site_fract_x
_atom_site_fract_y
_atom_site_fract_z
Mn1 Mn 0.000 0.000 0.000
Co1 Co 0.750 0.750 0.750
Pb1 Pb 0.250 0.250 0.250
Pb2 Pb 0.500 0.500 0.500

=====

Entry 2:
# NiMo2N | Alexandria via LeMat-Bulk | PBE | optimized geometry
# **Electronic total energy**: -8.56 eV/atom
# **Energy relative to the elements, uncorrected**: 0.382 eV/atom
# **D(E_F)**: 4.76 states/eV/f.u.
data_NiMo2N
_chemical_formula_sum 'Ni1 Mo2 N1'
_cell_length_a 7.976
_cell_length_b 7.976
_cell_length_c 7.976
_cell_angle_alpha 19.97
_cell_angle_beta 19.97
_cell_angle_gamma 19.97
_symmetry_space_group_name_H-M 'P 1'
_symmetry_Int_Tables_number 1
_symmetry_space_group_name_Hall 'P 1'
loop_
_atom_site_label
_atom_site_type_symbol
_atom_site_fract_x
_atom_site_fract_y
_atom_site_fract_z
Ni1 Ni 0.000 0.000 0.000
Mo1 Mo 0.105 0.105 0.105
Mo2 Mo 0.895 0.895 0.895
N1 N 0.500 0.500 0.500

=====

Entry 3:
# SrTlTe2I | Alexandria via LeMat-Bulk | PBE | optimized geometry
# **Electronic total energy**: -2.78 eV/atom
# **Energy relative to the elements, uncorrected**: -0.406 eV/atom
# **D(E_F)**: 6.30 states/eV/f.u.
# **E above lowest polymorph**: 0.028 eV/atom
data_SrTlTe2I
_chemical_formula_sum 'Sr1 Tl1 Te2 I1'
_cell_length_a 6.282
_cell_length_b 6.282
_cell_length_c 6.404
_cell_angle_alpha 90.00
_cell_angle_beta 90.00
_cell_angle_gamma 90.00
_symmetry_space_group_name_H-M 'P 1'
_symmetry_Int_Tables_number 1
_symmetry_space_group_name_Hall 'P 1'
loop_
_atom_site_label
_atom_site_type_symbol
_atom_site_fract_x
_atom_site_fract_y
_atom_site_fract_z
Sr1 Sr 0.000 0.000 0.000
Tl1 Tl 0.500 0.500 0.500
Te1 Te 0.000 0.500 0.000
Te2 Te 0.500 0.000 0.000
I1 I 0.000 0.000 0.500

=====

Entry 4:
# Li2CdRe | Alexandria via LeMat-Bulk | PBE | optimized geometry
# **Electronic total energy**: -4.03 eV/atom
# **E_form**: 1.055 eV per formula unit
# **D(E_F)**: 2.74 states/eV/f.u.
data_Li2CdRe
_chemical_formula_sum 'Li2 Cd1 Re1'
_cell_length_a 2.706
_cell_length_b 2.706
_cell_length_c 9.595
_cell_angle_alpha 90.00
_cell_angle_beta 90.00
_cell_angle_gamma 107.30
_symmetry_space_group_name_H-M 'P 1'
_symmetry_Int_Tables_number 1
_symmetry_space_group_name_Hall 'P 1'
loop_
_atom_site_label
_atom_site_type_symbol
_atom_site_fract_x
_atom_site_fract_y
_atom_site_fract_z
Li1 Li 0.000 0.000 0.000
Li2 Li 0.500 0.500 0.268
Cd1 Cd 0.500 0.500 0.753
Re1 Re 0.000 0.000 0.495